# 1
K2NiMoF6 GGA+U optimized geometry; SG = Immm, No. 71; uncorrected energy = -93.78 eV for the cell shown
1.0
6.1848 0.0000 0.0000
0.0000 6.2004 0.0000
0.0000 0.0000 8.3264
K Ni Mo F
4 2 2 12
direct
0.5000 0.7500 0.2502
0.0000 0.2500 0.7502
0.5000 0.7500 0.7498
0.0000 0.2500 0.2498
0.0000 0.7500 0.5000
0.5000 0.2500 0.0000
0.5000 0.2500 0.5000
0.0000 0.7500 0.0000
0.5000 0.2500 0.2483
0.5000 0.2500 0.7517
0.0000 0.7500 0.2517
0.0000 0.7500 0.7483
0.2607 0.0114 0.5000
0.7393 0.0114 0.5000
0.2607 0.4885 0.5000
0.7393 0.4885 0.5000
0.7607 0.5115 0.0000
0.2393 0.5115 0.0000
0.2393 0.9886 0.0000
0.7607 0.9886 0.0000

---

# 2
KMoO2F GGA+U optimized geometry; SG = P4/mmm, No. 123; uncorrected energy = -18.71 eV for the cell shown
1.0
-2.8617 3.4334 -0.8021
-1.4248 -0.1812 4.3079
3.1968 2.9405 1.1810
Mo K O F
1 1 2 1
direct
0.5000 0.5000 0.5000
0.0000 0.0000 0.0000
0.0000 0.5000 0.0000
0.5000 0.0000 0.0000
0.0000 0.0000 0.5000

---

# 3
KMoO3F GGA+U optimized geometry; SG = C2/c, No. 15; uncorrected energy = -71.29 eV for the cell shown
1.0
-2.8527 4.5035 -0.8972
-4.0591 -1.9678 2.5339
1.2777 2.7432 9.4594
K Mo O F
2 2 6 2
direct
0.2500 0.2572 0.4856
0.7500 0.7428 0.5144
0.7500 0.0322 0.9357
0.2500 0.9678 0.0643
0.5044 0.7598 0.0006
0.9956 0.2396 0.0006
0.7500 0.1213 0.7575
0.4956 0.2402 0.9994
0.0044 0.7604 0.9994
0.2500 0.8787 0.2425
0.2500 0.7223 0.5554
0.7500 0.2777 0.4446

---

Number 3 is which compound?
KMoO3F